## PmB3C2 (PBE-GGA)

Data for PmB3C2 after structural relaxation.

a b c (Å): 5.8325 5.8325 7.5595
angles (deg): 117.18 117.18 28.69
Closest atoms and distances in Å follow each position.
Sites, in units of the cell vectors:
Pm 0.1361 0.1361 0.0324  5 B 2.63-2.85, 5 C 2.76-2.88, 3 Pm 2.88-2.89
Pm 0.8639 0.8639 0.9676  5 B 2.63-2.85, 5 C 2.76-2.88, 3 Pm 2.88-2.89
B 0.1118 0.1118 0.4167  3 C 1.68-1.72, 1 B 1.75
B 0.2801 0.2801 0.6033  2 C 1.65-1.74, 1 B 1.75
B 0.3939 0.3939 0.2869  3 C 1.66-1.70
B 0.6061 0.6061 0.7131  3 C 1.66-1.70
B 0.7199 0.7199 0.3967  2 C 1.65-1.74, 1 B 1.75
B 0.8882 0.8882 0.5833  3 C 1.68-1.72, 1 B 1.75
C 0.1597 0.1597 0.6689  4 B 1.65-1.72
C 0.4535 0.4535 0.7046  4 B 1.68-1.74
C 0.5465 0.5465 0.2954  4 B 1.68-1.74
C 0.8403 0.8403 0.3311  4 B 1.65-1.72

Computed properties:
For the total energy, the calculation gives -84.13 eV for the cell shown. The calculation puts the energy relative to the elements at 0.19 eV/atom. The value obtained for the density of states at the Fermi level is 0.127 states/eV/atom. For the magnetic moment, the calculation gives 0.00 μB per formula unit.